A relaxed structure of BaEuGaHg, computed with PBE.

a = 8.0121 Å, b = 8.0121 Å, c = 8.0121 Å
α = 90.00°, β = 90.00°, γ = 90.00°
Closest atoms and distances in Å follow each position.
Fractional positions:
Ba (0.0000, 0.0000, 0.0000)  4 Hg 3.47, 4 Ga 3.47
Ba (0.0000, 0.5000, 0.5000)  4 Hg 3.47, 4 Ga 3.47
Ba (0.5000, 0.0000, 0.5000)  4 Hg 3.47, 4 Ga 3.47
Ba (0.5000, 0.5000, 0.0000)  4 Hg 3.47, 4 Ga 3.47
Eu (0.0000, 0.0000, 0.5000)  4 Hg 3.47, 4 Ga 3.47
Eu (0.0000, 0.5000, 0.0000)  4 Hg 3.47, 4 Ga 3.47
Eu (0.5000, 0.0000, 0.0000)  4 Hg 3.47, 4 Ga 3.47
Eu (0.5000, 0.5000, 0.5000)  4 Hg 3.47, 4 Ga 3.47
Ga (0.2500, 0.2500, 0.2500)  4 Ba 3.47, 4 Eu 3.47
Ga (0.2500, 0.7500, 0.7500)  4 Ba 3.47, 4 Eu 3.47
Ga (0.7500, 0.2500, 0.7500)  4 Ba 3.47, 4 Eu 3.47
Ga (0.7500, 0.7500, 0.2500)  4 Ba 3.47, 4 Eu 3.47
Hg (0.2500, 0.2500, 0.7500)  4 Ba 3.47, 4 Eu 3.47
Hg (0.2500, 0.7500, 0.2500)  4 Ba 3.47, 4 Eu 3.47
Hg (0.7500, 0.2500, 0.2500)  4 Ba 3.47, 4 Eu 3.47
Hg (0.7500, 0.7500, 0.7500)  4 Eu 3.47, 4 Ba 3.47

## Properties
- calculated density (kg/m³) = 7227
- magnetic moment (μB per cell) = 27.7
- SG = F-43m
- DFT total energy (eV per atom) = -4.3043
- calculated formation energy (meV per atom) = -423